1.
An optimized crystal structure of ZnPdN2O. Source: Alexandria, functional GGA-PBE.

The calculation puts the volume at 11.60 Å³/atom. The density is 6180 kg/m3. The value obtained for the density of states at the Fermi level is 0.8023 states/eV/atom. Its uncorrected energy is -4.083 eV per atom. The value obtained for the uncorrected formation energy is 1532 meV per atom.

The structure belongs to space group P4/mmm (No. 123); the cell edges are 3.908, 3.908 and 3.797 Å and the angles 90.00°, 90.00° and 90.00°. The distinct sites, in fractional coordinates, are Zn at (0.000, 0.000, 0.000), Pd at (0.500, 0.500, 0.500), N at (0.000, 0.500, 0.000) and O at (0.000, 0.000, 0.500).



2.
An optimized crystal structure of Te2Pb2I. Source: Alexandria, functional GGA-PBE.

The calculation puts the volume at 38.81 Å³/atom. The offset from the most stable computed form is 43 meV/atom. The density is 6817 kg/m3. The value obtained for the density of states at the Fermi level is 0.7111 states/eV/atom. Its uncorrected energy is -3.266 eV per atom. The value obtained for the uncorrected formation energy is -216 meV per atom.

The structure belongs to space group I4/mmm (No. 139); the cell edges are 5.856, 5.856 and 11.315 Å and the angles 90.00°, 90.00° and 90.00°. The distinct sites, in fractional coordinates, are Te at (0.000, 0.000, 0.137), Pb at (0.000, 0.500, 0.250) and I at (0.000, 0.000, 0.500).



3.
An optimized crystal structure of Na2SrCaN. Source: Alexandria, functional GGA-PBE.

The calculation puts the volume at 56.81 Å³/atom. The density is 1097 kg/m3. The value obtained for the density of states at the Fermi level is 2.0291 states/eV/atom. Its uncorrected energy is -1.280 eV per atom. The value obtained for the uncorrected formation energy is 1650 meV per atom.

The structure belongs to space group P4/mmm (No. 123); the cell edges are 6.181, 6.181 and 7.434 Å and the angles 90.00°, 90.00° and 90.00°. The distinct sites, in fractional coordinates, are Na at (0.000, 0.500, 0.000), Sr at (0.000, 0.000, 0.500), Ca at (0.000, 0.000, 0.000) and N at (0.500, 0.500, 0.500).



4.
An optimized crystal structure of ZrP2RuS. Source: Alexandria, functional GGA-PBE.

The calculation puts the volume at 20.68 Å³/atom. The offset from the most stable computed form is 0 meV/atom. The density is 4598 kg/m3. The value obtained for the density of states at the Fermi level is 0.7133 states/eV/atom. Its uncorrected energy is -6.483 eV per atom. The value obtained for the uncorrected formation energy is 71 meV per atom.

The structure belongs to space group P4/mmm (No. 123); the cell edges are 4.308, 4.308 and 5.571 Å and the angles 90.00°, 90.00° and 90.00°. The distinct sites, in fractional coordinates, are Zr at (0.000, 0.000, 0.000), P at (0.000, 0.500, 0.500), Ru at (0.000, 0.000, 0.500) and S at (0.500, 0.500, 0.000).